No. 1
Computed, not measured: a relaxed CdInGaBi crystal at the PBE-GGA level of DFT.

Lattice parameters (Å, degrees): 5.285 5.285 5.285 60.00 60.00 60.00
Element x y z (fractional)
Ga 0.250 0.250 0.250
In 0.000 0.000 0.000
Cd 0.750 0.750 0.750
Bi 0.500 0.500 0.500

- Total DFT energy (no corrections): -10.32 eV per cell
- Calculated volume: 26.10 A^3/atom
- Space group: F-43m (216)
- ΔE_f: 60 meV/atom


No. 2
Computed, not measured: a relaxed KIr2Rh crystal at the PBE-GGA level of DFT.

Lattice parameters (Å, degrees): 4.839 4.839 4.839 128.53 128.53 75.77
Element x y z (fractional)
Ir 0.000 0.000 0.000
Ir 0.250 0.750 0.500
K 0.500 0.500 0.000
Rh 0.750 0.250 0.500

- Total DFT energy (no corrections): -21.79 eV per cell
- Offset from the most stable computed form: 0.640 eV/atom
- Calculated volume: 16.86 A^3/atom
- Space group: I-4m2 (119)
- ΔE_f: 1095 meV/atom


No. 3
Computed, not measured: a relaxed Al2TeCl crystal at the PBE-GGA level of DFT.

Lattice parameters (Å, degrees): 3.242 3.242 9.158 90.00 90.00 90.00
Element x y z (fractional)
Cl 0.000 0.000 0.402
Al 0.000 0.000 0.038
Al 0.500 0.500 0.230
Te 0.500 0.500 0.829

- Total DFT energy (no corrections): -13.27 eV per cell
- Formation energy from raw total energies: -0.200 eV/atom
- Offset from the most stable computed form: 0.231 eV/atom
- Calculated volume: 24.07 A^3/atom
- Space group: P4mm (99)


No. 4
Computed, not measured: a relaxed V2GaFeN crystal at the PBE-GGA level of DFT.

Lattice parameters (Å, degrees): 3.927 3.927 3.818 90.00 90.00 90.00
Each line ends with the local moment (μB).
Element x y z (fractional)
Fe 0.000 0.000 0.500  1.81
V 0.000 0.500 0.000  -0.03
V 0.500 0.000 0.000  -0.03
Ga 0.500 0.500 0.500  0.00
N 0.000 0.000 0.000  0.01

- Total DFT energy (no corrections): -40.49 eV per cell
- Formation energy from raw total energies: -0.488 eV/atom
- Calculated volume: 11.77 A^3/atom
- Space group: P4/mmm (123)


No. 5
Computed, not measured: a relaxed Tb5MgAg3 crystal at the PBE-GGA level of DFT.

Lattice parameters (Å, degrees): 6.624 9.058 9.056 120.01 90.00 90.00
Element x y z (fractional)
Ag 0.250 0.000 0.351
Ag 0.250 0.649 0.649
Ag 0.750 0.000 0.649
Ag 0.750 0.649 0.000
Ag 0.750 0.351 0.351
Ag 0.250 0.351 0.000
Tb 0.250 0.317 0.317
Tb 0.750 0.000 0.317
Tb 0.000 0.667 0.333
Tb 0.500 0.667 0.333
Tb 0.250 0.683 0.000
Tb 0.250 0.000 0.683
Tb 0.500 0.333 0.667
Tb 0.000 0.333 0.667
Tb 0.750 0.317 0.000
Tb 0.750 0.683 0.683
Mg 0.000 0.000 0.000
Mg 0.500 0.000 0.000

- Total DFT energy (no corrections): -68.76 eV per cell
- Calculated volume: 26.14 A^3/atom
- Space group: P6_3/mcm (193)
- ΔE_f: -120 meV/atom


No. 6
Computed, not measured: a relaxed Nd2Ho2Er5 crystal at the PBE-GGA level of DFT.

Lattice parameters (Å, degrees): 3.476 8.176 12.481 120.49 98.15 89.83
Element x y z (fractional)
Er 0.309 0.149 0.619
Er 0.691 0.851 0.381
Er 0.000 0.000 0.000
Er 0.902 0.540 0.809
Er 0.098 0.460 0.191
Ho 0.547 0.738 0.093
Ho 0.453 0.262 0.907
Nd 0.820 0.780 0.637
Nd 0.180 0.220 0.363

- Total DFT energy (no corrections): -39.43 eV per cell
- Offset from the most stable computed form: 0.014 eV/atom
- Calculated volume: 33.51 A^3/atom
- Space group: P-1 (2)
- ΔE_f: 231 meV/atom


No. 7
Computed, not measured: a relaxed ThPaGa5 crystal at the PBE-GGA level of DFT.

Lattice parameters (Å, degrees): 4.928 4.928 6.654 90.00 90.00 90.00
Element x y z (fractional)
Ga 0.000 0.500 0.767
Ga 0.500 0.000 0.767
Ga 0.000 0.500 0.233
Ga 0.500 0.500 0.500
Ga 0.500 0.000 0.233
Th 0.000 0.000 0.500
Pa 0.500 0.500 0.000

- Total DFT energy (no corrections): -32.45 eV per cell
- Calculated volume: 23.09 A^3/atom
- Space group: P4/mmm (123)
- ΔE_f: -57 meV/atom


No. 8
Computed, not measured: a relaxed CoRe4Sb crystal at the PBE-GGA level of DFT.

Lattice parameters (Å, degrees): 5.224 5.224 5.224 60.00 60.00 60.00
Each line ends with the local moment (μB).
Element x y z (fractional)
Re 0.374 0.878 0.374  0.04
Re 0.374 0.374 0.878  0.04
Re 0.878 0.374 0.374  0.04
Re 0.374 0.374 0.374  0.04
Sb 0.750 0.750 0.750  0.00
Co 0.000 0.000 0.000  1.77

- Total DFT energy (no corrections): -56.11 eV per cell
- Formation energy from raw total energies: 0.818 eV/atom
- Calculated volume: 16.80 A^3/atom
- Space group: F-43m (216)